Compound: Y3Cr5N12
Source: the Alexandria database
Functional: GGA-PBE
Structure: relaxed

Calculated values
* volume: 231.7 Å³/f.u.
* space-group type: Ia-3d
* magnetization: 3.00 μB/f.u.
* electronic total energy: -9.01 eV per atom
* density of states at the Fermi level: 0.35 states/eV/atom
* formation energy without anion corrections: -12.75 eV/f.u.

a = 10.638 Å, b = 10.638 Å, c = 10.638 Å
α = 109.47°, β = 109.47°, γ = 109.47°
Fractional positions:
Y1 0.125 0.250 0.375
Y2 0.125 0.375 0.750
Y3 0.250 0.375 0.125
Y4 0.250 0.875 0.625
Y5 0.375 0.125 0.250
Y6 0.375 0.750 0.125
Y7 0.625 0.250 0.875
Y8 0.625 0.875 0.750
Y9 0.750 0.125 0.375
Y10 0.750 0.625 0.875
Y11 0.875 0.625 0.250
Y12 0.875 0.750 0.625
Cr1 0.000 0.000 0.000
Cr2 0.000 0.000 0.500
Cr3 0.000 0.500 0.000
Cr4 0.000 0.500 0.500
Cr5 0.125 0.750 0.875
Cr6 0.125 0.875 0.250
Cr7 0.250 0.125 0.875
Cr8 0.250 0.625 0.375
Cr9 0.375 0.250 0.625
Cr10 0.375 0.625 0.750
Cr11 0.500 0.000 0.000
Cr12 0.500 0.000 0.500
Cr13 0.500 0.500 0.000
Cr14 0.500 0.500 0.500
Cr15 0.625 0.375 0.250
Cr16 0.625 0.750 0.375
Cr17 0.750 0.375 0.625
Cr18 0.750 0.875 0.125
Cr19 0.875 0.125 0.750
Cr20 0.875 0.250 0.125
N1 0.011 0.197 0.113
N2 0.011 0.314 0.899
N3 0.084 0.697 0.686
N4 0.084 0.887 0.399
N5 0.101 0.613 0.416
N6 0.101 0.989 0.686
N7 0.113 0.011 0.197
N8 0.113 0.601 0.916
N9 0.186 0.197 0.584
N10 0.186 0.489 0.601
N11 0.197 0.113 0.011
N12 0.197 0.584 0.186
N13 0.303 0.314 0.916
N14 0.303 0.489 0.387
N15 0.314 0.899 0.011
N16 0.314 0.916 0.303
N17 0.387 0.303 0.489
N18 0.387 0.584 0.899
N19 0.399 0.084 0.887
N20 0.399 0.814 0.511
N21 0.416 0.101 0.613
N22 0.416 0.814 0.803
N23 0.489 0.387 0.303
N24 0.489 0.601 0.186
N25 0.511 0.399 0.814
N26 0.511 0.613 0.697
N27 0.584 0.186 0.197
N28 0.584 0.899 0.387
N29 0.601 0.186 0.489
N30 0.601 0.916 0.113
N31 0.613 0.416 0.101
N32 0.613 0.697 0.511
N33 0.686 0.084 0.697
N34 0.686 0.101 0.989
N35 0.697 0.511 0.613
N36 0.697 0.686 0.084
N37 0.803 0.416 0.814
N38 0.803 0.887 0.989
N39 0.814 0.511 0.399
N40 0.814 0.803 0.416
N41 0.887 0.399 0.084
N42 0.887 0.989 0.803
N43 0.899 0.011 0.314
N44 0.899 0.387 0.584
N45 0.916 0.113 0.601
N46 0.916 0.303 0.314
N47 0.989 0.686 0.101
N48 0.989 0.803 0.887